First-principles (GGA+U) data for an optimized crystal structure of Sr2CrB2O6, as listed in Alexandria via LeMat-Bulk.

```
Sr2CrB2O6
1.0
2.629 1.518 5.564
-2.629 1.518 5.564
0.000 -3.035 5.564
Sr Cr B O
2 1 2 6
direct
0.218 0.218 0.218
0.782 0.782 0.782
0.000 0.000 0.000
0.417 0.417 0.417
0.583 0.583 0.583
0.265 0.265 0.724
0.265 0.724 0.265
0.276 0.735 0.735
0.724 0.265 0.265
0.735 0.276 0.735
0.735 0.735 0.276
```

Results
spin magnetization	4.0	μB per cell
D(E_F)	2.07	states/eV per cell
V	12.1	Å³/atom
final energy	-7.41	eV per atom